[1]
Below is crystalline PrYAl at its relaxed geometry, with properties calculated at the GGA-PBE level.

a b c (Å): 5.3900 5.3900 6.7146
angles (deg): 90.00 90.00 119.98
Closest atoms and distances in Å follow each position.
Fractional coordinates of all 6 atoms:
Pr  0.0000  0.5000  0.0000  2 Pr 3.36, 6 Al 3.53-3.54, 6 Y 3.54
Pr  0.0000  0.5000  0.5000  2 Pr 3.36, 6 Al 3.53-3.54, 6 Y 3.54
Y  0.6666  0.8334  0.7500  5 Al 3.11-3.36
Y  0.3334  0.1666  0.2500  5 Al 3.11-3.36
Al  0.3332  0.1668  0.7500  5 Y 3.11-3.36
Al  0.6668  0.8332  0.2500  5 Y 3.11-3.36

Calculated values
Energy relative to the lowest polymorph listed for this composition in meV/atom: 0.0
Final energy in eV/atom: -5.233
Mass density in g/cm³: 5.0
Space-group type: P6_3/mmc, No. 194
N(E_F) in states/eV per atom: 1.2456
Total magnetization in μB/f.u.: 0.0

[2]
Below is crystalline PrY2Al2 at its relaxed geometry, with properties calculated at the GGA-PBE level.

a b c (Å): 3.8206 5.6475 13.2478
angles (deg): 96.62 90.00 90.00
Closest atoms and distances in Å follow each position.
Fractional coordinates of all 10 atoms:
Pr  0.2500  0.6799  0.2324  2 Al 3.22, 2 Y 3.59
Pr  0.7500  0.3201  0.7676  2 Al 3.22, 2 Y 3.59
Y  0.2500  0.8504  0.8904  5 Al 2.92-3.07
Y  0.7500  0.1496  0.1096  5 Al 2.92-3.07
Y  0.2500  0.2599  0.5364  4 Al 3.18-3.24, 4 Y 3.54
Y  0.7500  0.7401  0.4636  4 Al 3.18-3.24, 4 Y 3.54
Al  0.2500  0.7931  0.6571  5 Y 3.07-3.24
Al  0.7500  0.2069  0.3429  5 Y 3.07-3.24
Al  0.2500  0.3573  0.9645  2 Al 2.60
Al  0.7500  0.6427  0.0355  2 Al 2.60

Calculated values
Energy relative to the lowest polymorph listed for this composition in meV/atom: 126.8
Final energy in eV/atom: -5.214
Mass density in g/cm³: 4.4
Space-group type: P2_1/m, No. 11
N(E_F) in states/eV per atom: 0.9904
Total magnetization in μB/f.u.: 0.0

[3]
Below is crystalline PrY4Al at its relaxed geometry, with properties calculated at the GGA-PBE level.

a b c (Å): 6.2318 9.0298 8.2963
angles (deg): 114.26 100.51 110.79
Closest atoms and distances in Å follow each position.
Fractional coordinates of all 12 atoms:
Pr  0.3634  0.6134  0.2269  10 Y 3.40-3.65
Pr  0.6366  0.3866  0.7731  10 Y 3.40-3.65
Y  0.0438  0.1836  0.8028  2 Al 3.16-3.17, 1 Y 3.45, 1 Pr 3.48
Y  0.7747  0.7164  0.6378  2 Al 3.06-3.13, 1 Pr 3.40
Y  0.2591  0.6192  0.8028  2 Al 3.16-3.17, 1 Y 3.45, 1 Pr 3.48
Y  0.3631  0.9214  0.6378  2 Al 3.06-3.13, 1 Pr 3.40
Y  0.6369  0.0786  0.3622  2 Al 3.06-3.13, 1 Pr 3.40
Y  0.7409  0.3808  0.1972  2 Al 3.16-3.17, 1 Y 3.45, 1 Pr 3.48
Y  0.2253  0.2836  0.3622  2 Al 3.06-3.13, 1 Pr 3.40
Y  0.9562  0.8164  0.1972  2 Al 3.16-3.17, 1 Y 3.45, 1 Pr 3.48
Al  0.2495  0.9995  0.9989  8 Y 3.06-3.17, 2 Al 3.12
Al  0.7505  0.0005  0.0011  8 Y 3.06-3.17, 2 Al 3.12

Calculated values
Energy relative to the lowest polymorph listed for this composition in meV/atom: 67.6
Final energy in eV/atom: -5.790
Mass density in g/cm³: 4.7
Space-group type: C2/c, No. 15
N(E_F) in states/eV per atom: 1.3712
Total magnetization in μB/f.u.: 0.0

[4]
Below is crystalline PrY2Al at its relaxed geometry, with properties calculated at the GGA-PBE level.

a b c (Å): 3.5606 3.5606 9.1454
angles (deg): 90.00 90.00 90.00
Closest atoms and distances in Å follow each position.
Fractional coordinates of all 4 atoms:
Pr  0.5000  0.5000  0.5000  4 Pr 3.56, 8 Y 3.68
Y  0.0000  0.0000  0.7931  4 Al 3.15
Y  0.0000  0.0000  0.2069  4 Al 3.15
Al  0.5000  0.5000  0.0000  8 Y 3.15

Calculated values
Energy relative to the lowest polymorph listed for this composition in meV/atom: 0.0
Final energy in eV/atom: -5.571
Mass density in g/cm³: 5.0
Space-group type: P4/mmm, No. 123
N(E_F) in states/eV per atom: 0.8647
Total magnetization in μB/f.u.: 0.0

[5]
Below is crystalline PrYAl at its relaxed geometry, with properties calculated at the GGA-PBE level.

a b c (Å): 3.5126 3.5126 7.3558
angles (deg): 103.81 103.81 90.00
Closest atoms and distances in Å follow each position.
Fractional coordinates of all 3 atoms:
Pr  0.0183  0.0183  0.0365  4 Al 3.27, 4 Pr 3.51
Y  0.3104  0.3104  0.6208  4 Al 3.14, 4 Y 3.51
Al  0.6713  0.6713  0.3427  4 Y 3.14, 4 Pr 3.27, 4 Al 3.51

Calculated values
Energy relative to the lowest polymorph listed for this composition in meV/atom: 11.0
Final energy in eV/atom: -5.222
Mass density in g/cm³: 5.0
Space-group type: I4mm, No. 107
N(E_F) in states/eV per atom: 0.7399
Total magnetization in μB/f.u.: 0.0

[6]
Below is crystalline PrY14Al at its relaxed geometry, with properties calculated at the GGA-PBE level.

a b c (Å): 6.9541 6.9541 10.8460
angles (deg): 90.00 90.00 105.07
Closest atoms and distances in Å follow each position.
Fractional coordinates of all 16 atoms:
Pr  0.3908  0.6092  0.0000  12 Y 3.41-3.74
Y  0.3627  0.6373  0.5000  12 Y 3.42-3.83
Y  0.8158  0.1842  0.5000  10 Y 3.39-3.53
Y  0.8615  0.5487  0.0000  2 Pr 3.41-3.59, 7 Y 3.44-3.53, 2 Al 3.45-3.58
Y  0.8932  0.7064  0.5000  11 Y 3.39-3.73
Y  0.4513  0.1385  0.0000  2 Pr 3.41-3.59, 7 Y 3.44-3.53, 2 Al 3.45-3.58
Y  0.2936  0.1068  0.5000  11 Y 3.39-3.73
Y  0.6703  0.9211  0.7624  1 Al 3.19, 6 Y 3.39-3.53
Y  0.6703  0.9211  0.2376  1 Al 3.19, 6 Y 3.39-3.53
Y  0.0789  0.3297  0.7624  1 Al 3.19, 6 Y 3.39-3.53
Y  0.0789  0.3297  0.2376  1 Al 3.19, 6 Y 3.39-3.53
Y  0.1533  0.8467  0.7815  1 Al 3.34, 8 Y 3.44-3.55, 1 Pr 3.53
Y  0.1533  0.8467  0.2185  1 Al 3.34, 8 Y 3.44-3.55, 1 Pr 3.53
Y  0.5929  0.4071  0.7237  10 Y 3.46-3.58, 1 Pr 3.74
Y  0.5929  0.4071  0.2763  10 Y 3.46-3.58, 1 Pr 3.74
Al  0.9402  0.0598  0.0000  8 Y 3.19-3.45

Calculated values
Final energy in eV/atom: -6.189
Mass density in g/cm³: 4.6
Space-group type: Amm2, No. 38
N(E_F) in states/eV per atom: 1.5315
Total magnetization in μB/f.u.: 0.0

[7]
Below is crystalline Pr2YAl9 at its relaxed geometry, with properties calculated at the GGA-PBE level.

a b c (Å): 5.6691 5.6691 9.4429
angles (deg): 72.53 72.53 60.00
Closest atoms and distances in Å follow each position.
Fractional coordinates of all 12 atoms:
Pr  0.8583  0.8583  0.4250  12 Al 3.25-3.34, 3 Pr 3.53
Pr  0.1417  0.1417  0.5750  12 Al 3.25-3.34, 3 Pr 3.53
Y  0.0000  0.0000  0.0000  18 Al 3.27-3.57
Al  0.6648  0.6648  0.0055  6 Al 2.70-2.74
Al  0.3352  0.3352  0.9945  6 Al 2.70-2.74
Al  0.5000  0.5000  0.5000  6 Al 2.81
Al  0.4147  0.4147  0.2456  7 Al 2.70-2.89
Al  0.9251  0.4147  0.2456  7 Al 2.70-2.89
Al  0.4147  0.9251  0.2456  7 Al 2.70-2.89
Al  0.5853  0.5853  0.7544  7 Al 2.70-2.89
Al  0.5853  0.0749  0.7544  7 Al 2.70-2.89
Al  0.0749  0.5853  0.7544  7 Al 2.70-2.89

Calculated values
Final energy in eV/atom: -4.491
Mass density in g/cm³: 4.1
Space-group type: R-3m, No. 166
N(E_F) in states/eV per atom: 0.4720
Total magnetization in μB/f.u.: 0.0

[8]
Below is crystalline PrY3Al2 at its relaxed geometry, with properties calculated at the GGA-PBE level.

a b c (Å): 5.1472 6.6142 9.6811
angles (deg): 90.00 90.00 90.00
Closest atoms and distances in Å follow each position.
Fractional coordinates of all 12 atoms:
Pr  0.5000  0.5368  0.5434  5 Al 3.21-3.58, 2 Pr 3.41, 2 Y 3.46
Pr  0.5000  0.0368  0.4566  5 Al 3.21-3.58, 2 Pr 3.41, 2 Y 3.46
Y  0.0000  0.4673  0.9535  3 Al 3.16-3.19, 5 Y 3.43-3.50
Y  0.0000  0.9673  0.0465  3 Al 3.16-3.19, 5 Y 3.43-3.50
Y  0.5000  0.6798  0.1742  4 Al 3.06-3.18
Y  0.5000  0.1798  0.8258  4 Al 3.06-3.18
Y  0.0000  0.3195  0.3163  4 Al 3.13-3.21, 2 Pr 3.46, 1 Y 3.50
Y  0.0000  0.8195  0.6837  4 Al 3.13-3.21, 2 Pr 3.46, 1 Y 3.50
Al  0.5000  0.7065  0.8590  6 Y 3.06-3.17, 1 Pr 3.25
Al  0.5000  0.2065  0.1410  6 Y 3.06-3.17, 1 Pr 3.25
Al  0.0000  0.2901  0.6475  5 Y 3.13-3.21, 2 Pr 3.21
Al  0.0000  0.7901  0.3525  5 Y 3.13-3.21, 2 Pr 3.21

Calculated values
Energy relative to the lowest polymorph listed for this composition in meV/atom: 0.0
Final energy in eV/atom: -5.566
Mass density in g/cm³: 4.7
Space-group type: Pmc2_1, No. 26
N(E_F) in states/eV per atom: 0.9082
Total magnetization in μB/f.u.: 0.0

Q: Which value of N(E_F) does entry 3 give?
A: 1.3712 states/eV per atom